The following is a DFT calculation (SCAN) of a crystal of Zn2OsBr relaxed with PBEsol.

POSCAR file:
```
Zn2OsBr
1.0
2.897 0.000 0.000
1.449 2.509 0.000
1.449 0.836 9.028
Zn Os Br
2 1 1
Direct
0.741 0.741 0.778 Zn
0.995 0.995 0.015 Zn
0.253 0.253 0.241 Os
0.512 0.512 0.465 Br
```

Formation energy from raw total energies: 0.696 eV per atom